[1]
Zr6Al7Cu16: relaxed, PBE.

* crystal system: cubic
* DFT formation energy: -994.6 kJ/mol of formula units
* space group: No. 225

Cell lengths 8.460, 8.460, 8.460 Å; angles 60.00, 60.00, 60.00 degrees
Element x y z (fractional)
Cu 0.119 0.119 0.642
Cu 0.329 0.329 0.013
Al 0.000 0.500 0.500
Cu 0.642 0.119 0.119
Cu 0.671 0.671 0.987
Zr 0.294 0.706 0.294
Cu 0.329 0.013 0.329
Al 0.500 0.000 0.500
Cu 0.671 0.671 0.671
Cu 0.119 0.642 0.119
Al 0.000 0.000 0.500
Zr 0.294 0.294 0.706
Cu 0.671 0.987 0.671
Cu 0.881 0.881 0.358
Cu 0.013 0.329 0.329
Cu 0.881 0.358 0.881
Cu 0.987 0.671 0.671
Cu 0.329 0.329 0.329
Al 0.500 0.000 0.000
Zr 0.706 0.294 0.706
Cu 0.119 0.119 0.119
Cu 0.358 0.881 0.881
Al 0.500 0.500 0.000
Al 0.000 0.500 0.000
Cu 0.881 0.881 0.881
Zr 0.706 0.706 0.294
Zr 0.706 0.294 0.294
Zr 0.294 0.706 0.706
Al 0.000 0.000 0.000

---

[2]
Zr3AlCu3: relaxed, PBE.

* energy above the most stable polymorph in this dataset: 0.166 eV/atom
* crystal system: hexagonal
* DFT formation energy: 23.6 kJ/mol of formula units
* space group: No. 176

Cell lengths 7.973, 7.973, 4.748 Å; angles 90.00, 90.00, 120.01 degrees
Element x y z (fractional)
Zr 0.752 0.759 0.750
Zr 0.759 0.006 0.250
Zr 0.994 0.752 0.250
Zr 0.006 0.248 0.750
Cu 0.577 0.592 0.250
Cu 0.408 0.984 0.250
Cu 0.592 0.016 0.750
Zr 0.248 0.241 0.250
Cu 0.016 0.423 0.250
Zr 0.241 0.994 0.750
Cu 0.984 0.577 0.750
Cu 0.423 0.408 0.750
Al 0.333 0.667 0.750
Al 0.667 0.333 0.250

---

[3]
Zr2AlCu: relaxed, PBE.

* crystal system: trigonal
* DFT formation energy: 9.0 kJ/mol of formula units
* space group: No. 164

Cell lengths 4.689, 4.689, 8.634 Å; angles 90.00, 90.00, 120.00 degrees
Element x y z (fractional)
Zr 0.333 0.667 0.073
Zr 0.667 0.333 0.303
Cu 0.333 0.667 0.381
Al 0.000 0.000 0.172
Al 0.000 0.000 0.828
Zr 0.333 0.667 0.697
Zr 0.667 0.333 0.927
Cu 0.667 0.333 0.619

---

[4]
Zr2AlCu: relaxed, PBE.

* crystal system: tetragonal
* DFT formation energy: -115.5 kJ/mol of formula units
* space group: No. 123

Cell lengths 3.085, 3.085, 7.710 Å; angles 90.00, 90.00, 90.01 degrees
Element x y z (fractional)
Al 0.500 0.500 0.250
Zr 0.000 0.000 0.988
Zr 0.000 0.000 0.512
Cu 0.500 0.500 0.750

---

Question: Among the records above, which one has the highest DFT formation energy?
Answer: Zr3AlCu3